[1]
The following is a DFT calculation (GGA-PBE) of a relaxed PrGd2Cd3Pd2Au crystal.

ΔH_f (0 K)   -0.673 eV/atom
Space group   Amm2
Mass density   9.6 g/cm3

a = 3.9804 Å, b = 7.7539 Å, c = 7.7539 Å
α = 120.11°, β = 90.00°, γ = 90.00°
Last column: nearest neighbours and their distance in Å.
Fractional positions:
Au 0.5000 0.9965 0.9965  6 Cd 2.82-2.86, 2 Gd 3.14
Cd 0.0000 0.9983 0.2621  2 Pd 2.85-2.92, 2 Au 2.86
Cd 0.0000 0.7391 0.7391  2 Au 2.82, 2 Pd 2.92
Cd 0.0000 0.2621 0.9983  2 Pd 2.85-2.92, 2 Au 2.86
Gd 0.5000 0.9997 0.5935  4 Pd 3.06-3.07, 1 Au 3.14, 6 Cd 3.25-3.41
Gd 0.5000 0.5935 0.9997  4 Pd 3.06-3.07, 1 Au 3.14, 6 Cd 3.25-3.41
Pd 0.0000 0.6706 0.3325  3 Cd 2.85-2.92, 4 Gd 3.06-3.07, 2 Pr 3.11
Pd 0.0000 0.3325 0.6706  3 Cd 2.85-2.92, 4 Gd 3.06-3.07, 2 Pr 3.11
Pr 0.5000 0.4077 0.4077  4 Pd 3.11, 1 Au 3.18, 6 Cd 3.25-3.42

[2]
The following is a DFT calculation (GGA-PBE) of a relaxed Pr2GdCd3Pd2Au crystal.

ΔH_f (0 K)   -0.666 eV/atom
Space group   Amm2
Mass density   9.3 g/cm3

a = 4.0353 Å, b = 7.7969 Å, c = 7.7969 Å
α = 119.79°, β = 90.00°, γ = 90.00°
Last column: nearest neighbours and their distance in Å.
Fractional positions:
Au 0.0000 0.0031 0.0031  6 Cd 2.84-2.88
Cd 0.5000 0.2591 0.0023  2 Au 2.84, 2 Pd 2.91-3.00
Cd 0.5000 0.0023 0.2591  2 Au 2.84, 2 Pd 2.91-3.00
Cd 0.5000 0.7403 0.7403  2 Au 2.88, 2 Pd 2.91
Gd 0.0000 0.4101 0.4101  4 Pd 3.06, 1 Au 3.18, 2 Cd 3.28
Pd 0.5000 0.6606 0.3344  3 Cd 2.91-3.00, 2 Gd 3.06, 4 Pr 3.12-3.13
Pd 0.5000 0.3344 0.6606  3 Cd 2.91-3.00, 2 Gd 3.06, 4 Pr 3.12-3.13
Pr 0.0000 0.5897 0.0004  4 Pd 3.12-3.13, 1 Au 3.21, 6 Cd 3.28-3.47
Pr 0.0000 0.0004 0.5897  4 Pd 3.12-3.13, 1 Au 3.21, 6 Cd 3.28-3.47

[3]
The following is a DFT calculation (GGA-PBE) of a relaxed PrGdCd2Au4 crystal.

ΔH_f (0 K)   -0.658 eV/atom
Space group   P4/mmm
Mass density   12.2 g/cm3

a = 5.0114 Å, b = 5.0114 Å, c = 7.0872 Å
α = 90.00°, β = 90.00°, γ = 90.00°
Last column: nearest neighbours and their distance in Å.
Fractional positions:
Au 0.5000 0.0000 0.2400  4 Cd 3.03-3.11, 2 Gd 3.03, 2 Pr 3.11
Au 0.0000 0.5000 0.2400  4 Cd 3.03-3.11, 2 Gd 3.03, 2 Pr 3.11
Au 0.5000 0.0000 0.7600  4 Cd 3.03-3.11, 2 Gd 3.03, 2 Pr 3.11
Au 0.0000 0.5000 0.7600  4 Cd 3.03-3.11, 2 Gd 3.03, 2 Pr 3.11
Cd 0.5000 0.5000 0.0000  8 Au 3.03
Cd 0.0000 0.0000 0.5000  8 Au 3.11
Gd 0.0000 0.0000 0.0000  8 Au 3.03
Pr 0.5000 0.5000 0.5000  8 Au 3.11

[4]
The following is a DFT calculation (GGA-PBE) of a relaxed PrGd2Cd3Au3 crystal.

ΔH_f (0 K)   -0.661 eV/atom
Space group   Amm2
Mass density   10.7 g/cm3

a = 3.9855 Å, b = 7.8915 Å, c = 7.8915 Å
α = 120.27°, β = 90.00°, γ = 90.00°
Last column: nearest neighbours and their distance in Å.
Fractional positions:
Au 0.0000 0.0023 0.0023  6 Cd 2.83-2.87
Au 0.5000 0.6679 0.3285  3 Cd 2.91-2.99, 4 Gd 3.09-3.10, 2 Pr 3.15
Au 0.5000 0.3285 0.6679  3 Cd 2.91-2.99, 4 Gd 3.09-3.10, 2 Pr 3.15
Cd 0.5000 0.7407 0.0022  4 Au 2.87-2.98
Cd 0.5000 0.2582 0.2582  4 Au 2.83-2.99
Cd 0.5000 0.0022 0.7407  4 Au 2.87-2.98
Gd 0.0000 0.4046 0.0002  5 Au 3.09-3.18, 6 Cd 3.31-3.44
Gd 0.0000 0.0002 0.4046  5 Au 3.09-3.18, 6 Cd 3.31-3.44
Pr 0.0000 0.5955 0.5955  5 Au 3.15-3.20, 6 Cd 3.32-3.45

[5]
The following is a DFT calculation (GGA-PBE) of a relaxed PrGd2Cd3Pt2Au crystal.

ΔH_f (0 K)   -0.806 eV/atom
Space group   Amm2
Mass density   11.1 g/cm3

a = 3.9733 Å, b = 7.7641 Å, c = 7.7641 Å
α = 120.21°, β = 90.00°, γ = 90.00°
Last column: nearest neighbours and their distance in Å.
Fractional positions:
Au 0.5000 0.9973 0.9973  6 Cd 2.81-2.84
Cd 0.0000 0.9984 0.2597  2 Au 2.84, 2 Pt 2.86-2.94
Cd 0.0000 0.7406 0.7406  2 Au 2.81, 2 Pt 2.94
Cd 0.0000 0.2597 0.9984  2 Au 2.84, 2 Pt 2.86-2.94
Gd 0.5000 0.9993 0.5895  4 Pt 3.04-3.06, 1 Au 3.17, 2 Cd 3.24
Gd 0.5000 0.5895 0.9993  4 Pt 3.04-3.06, 1 Au 3.17, 2 Cd 3.24
Pr 0.5000 0.4103 0.4103  4 Pt 3.11, 1 Au 3.20, 6 Cd 3.24-3.43
Pt 0.0000 0.6723 0.3327  3 Cd 2.86-2.94, 4 Gd 3.04-3.06, 2 Pr 3.11
Pt 0.0000 0.3327 0.6723  3 Cd 2.86-2.94, 4 Gd 3.04-3.06, 2 Pr 3.11

[6]
The following is a DFT calculation (GGA-PBE) of a relaxed Pr2GdCd3Pt2Au crystal.

ΔH_f (0 K)   -0.795 eV/atom
Space group   Amm2
Mass density   10.7 g/cm3

a = 4.0185 Å, b = 7.7806 Å, c = 7.7806 Å
α = 119.71°, β = 90.00°, γ = 90.00°
Last column: nearest neighbours and their distance in Å.
Fractional positions:
Au 0.5000 0.0030 0.0030  6 Cd 2.83-2.87
Cd 0.0000 0.2588 0.0024  2 Au 2.83, 2 Pt 2.90-3.00
Cd 0.0000 0.0024 0.2588  2 Au 2.83, 2 Pt 2.90-3.00
Cd 0.0000 0.7408 0.7408  2 Au 2.87, 2 Pt 2.90
Gd 0.5000 0.4109 0.4109  4 Pt 3.05, 1 Au 3.19, 2 Cd 3.27
Pr 0.5000 0.5891 0.0004  4 Pt 3.11-3.13, 1 Au 3.21, 6 Cd 3.27-3.47
Pr 0.5000 0.0004 0.5891  4 Pt 3.11-3.13, 1 Au 3.21, 6 Cd 3.27-3.47
Pt 0.0000 0.6603 0.3344  3 Cd 2.90-3.00, 2 Gd 3.05, 4 Pr 3.11-3.13
Pt 0.0000 0.3344 0.6603  3 Cd 2.90-3.00, 2 Gd 3.05, 4 Pr 3.11-3.13

[7]
The following is a DFT calculation (GGA-PBE) of a relaxed Gd3ZnCd2Pt2Au crystal.

ΔH_f (0 K)   -0.839 eV/atom
Space group   Amm2
Mass density   11.4 g/cm3

a = 3.8979 Å, b = 7.6512 Å, c = 7.6512 Å
α = 120.38°, β = 90.00°, γ = 90.00°
Last column: nearest neighbours and their distance in Å.
Fractional positions:
Au 0.0000 0.9773 0.9773  2 Zn 2.68, 4 Cd 2.84
Cd 0.5000 0.2598 0.0035  2 Au 2.84, 2 Pt 2.90-2.92
Cd 0.5000 0.0035 0.2598  2 Au 2.84, 2 Pt 2.90-2.92
Gd 0.0000 0.4204 0.4204  4 Pt 2.99, 2 Zn 3.09
Gd 0.0000 0.9972 0.5914  4 Pt 2.97-3.09, 1 Au 3.03, 2 Cd 3.22
Gd 0.0000 0.5914 0.9972  4 Pt 2.97-3.09, 1 Au 3.03, 2 Cd 3.22
Pt 0.5000 0.6710 0.3441  1 Zn 2.78, 2 Cd 2.90-2.92, 6 Gd 2.97-3.09
Pt 0.5000 0.3441 0.6710  1 Zn 2.78, 2 Cd 2.90-2.92, 6 Gd 2.97-3.09
Zn 0.5000 0.7352 0.7352  2 Au 2.68, 2 Pt 2.78

[8]
The following is a DFT calculation (GGA-PBE) of a relaxed TbGd2Cd3Au3 crystal.

ΔH_f (0 K)   -0.669 eV/atom
Space group   Amm2
Mass density   11.2 g/cm3

a = 3.9303 Å, b = 7.8242 Å, c = 7.8242 Å
α = 119.94°, β = 90.00°, γ = 90.00°
Last column: nearest neighbours and their distance in Å.
Fractional positions:
Au 0.5000 0.6665 0.3342  3 Cd 2.92-2.94, 2 Tb 3.08, 4 Gd 3.09
Au 0.5000 0.3342 0.6665  3 Cd 2.92-2.94, 2 Tb 3.08, 4 Gd 3.09
Au 0.0000 0.9996 0.9996  6 Cd 2.84, 1 Tb 3.16, 2 Gd 3.16
Cd 0.5000 0.2620 0.2620  4 Au 2.84-2.92
Cd 0.5000 0.9997 0.7382  4 Au 2.84-2.94
Cd 0.5000 0.7382 0.9997  4 Au 2.84-2.94
Gd 0.0000 0.4035 0.0000  5 Au 3.09-3.16, 6 Cd 3.27-3.40
Gd 0.0000 0.0000 0.4035  5 Au 3.09-3.16, 6 Cd 3.27-3.40
Tb 0.0000 0.5964 0.5964  5 Au 3.08-3.16, 6 Cd 3.27-3.40

[9]
The following is a DFT calculation (GGA-PBE) of a relaxed Gd2YCd3Au3 crystal.

ΔH_f (0 K)   -0.672 eV/atom
Space group   Amm2
Mass density   10.6 g/cm3

a = 3.9508 Å, b = 7.8078 Å, c = 7.8078 Å
α = 119.97°, β = 90.00°, γ = 90.00°
Last column: nearest neighbours and their distance in Å.
Fractional positions:
Au 0.0000 0.0002 0.0002  6 Cd 2.84-2.85, 2 Gd 3.15, 1 Y 3.15
Au 0.5000 0.6661 0.3333  3 Cd 2.92-2.93, 2 Y 3.09, 4 Gd 3.09-3.10
Au 0.5000 0.3333 0.6661  3 Cd 2.92-2.93, 2 Y 3.09, 4 Gd 3.09-3.10
Cd 0.5000 0.2619 0.0007  4 Au 2.84-2.93
Cd 0.5000 0.0007 0.2619  4 Au 2.84-2.93
Cd 0.5000 0.7374 0.7374  4 Au 2.85-2.92
Gd 0.0000 0.5973 0.0002  5 Au 3.09-3.15, 6 Cd 3.28-3.40
Gd 0.0000 0.0002 0.5973  5 Au 3.09-3.15, 6 Cd 3.28-3.40
Y 0.0000 0.4029 0.4029  5 Au 3.09-3.15, 6 Cd 3.28-3.39

[10]
The following is a DFT calculation (GGA-PBE) of a relaxed GdZrCd2Au4 crystal.

ΔH_f (0 K)   -0.568 eV/atom
Space group   P4/mmm
Mass density   12.8 g/cm3

a = 4.8856 Å, b = 4.8856 Å, c = 6.8802 Å
α = 90.00°, β = 90.00°, γ = 90.00°
Last column: nearest neighbours and their distance in Å.
Fractional positions:
Au 0.5000 0.0000 0.2655  2 Zr 2.93, 4 Cd 2.93-3.05, 2 Gd 3.05, 1 Au 3.23
Au 0.0000 0.5000 0.2655  2 Zr 2.93, 4 Cd 2.93-3.05, 2 Gd 3.05, 1 Au 3.23
Au 0.5000 0.0000 0.7345  2 Zr 2.93, 4 Cd 2.93-3.05, 2 Gd 3.05, 1 Au 3.23
Au 0.0000 0.5000 0.7345  2 Zr 2.93, 4 Cd 2.93-3.05, 2 Gd 3.05, 1 Au 3.23
Cd 0.5000 0.5000 0.0000  8 Au 3.05
Cd 0.0000 0.0000 0.5000  8 Au 2.93
Gd 0.0000 0.0000 0.0000  8 Au 3.05
Zr 0.5000 0.5000 0.5000  8 Au 2.93

[11]
The following is a DFT calculation (GGA-PBE) of a relaxed CdGeAu2 crystal.

Space group   F-43m
Mass density   12.4 g/cm3
Raw total energy   -2.934 eV/atom

a = 4.7922 Å, b = 4.7922 Å, c = 4.7922 Å
α = 60.00°, β = 60.00°, γ = 60.00°
Last column: nearest neighbours and their distance in Å.
Fractional positions:
Au 0.0000 0.0000 0.0000  4 Cd 2.93, 4 Au 2.93
Au 0.7500 0.7500 0.7500  4 Ge 2.93, 4 Au 2.93
Cd 0.2500 0.2500 0.2500  4 Ge 2.93, 4 Au 2.93
Ge 0.5000 0.5000 0.5000  4 Cd 2.93, 4 Au 2.93

[12]
The following is a DFT calculation (GGA-PBE) of a relaxed CdGe2Au crystal.

Space group   F-43m
Mass density   9.4 g/cm3
Raw total energy   -3.169 eV/atom

a = 4.8356 Å, b = 4.8356 Å, c = 4.8356 Å
α = 60.00°, β = 60.00°, γ = 60.00°
Last column: nearest neighbours and their distance in Å.
Fractional positions:
Au 0.5000 0.5000 0.5000  4 Ge 2.96, 4 Cd 2.96
Cd 0.7500 0.7500 0.7500  4 Au 2.96, 4 Ge 2.96
Ge 0.0000 0.0000 0.0000  4 Cd 2.96, 4 Ge 2.96
Ge 0.2500 0.2500 0.2500  4 Ge 2.96, 4 Au 2.96

[13]
The following is a DFT calculation (GGA-PBE) of a relaxed Cd2GeAu crystal.

Space group   F-43m
Mass density   10.0 g/cm3
Raw total energy   -2.309 eV/atom

a = 4.8856 Å, b = 4.8856 Å, c = 4.8856 Å
α = 60.00°, β = 60.00°, γ = 60.00°
Last column: nearest neighbours and their distance in Å.
Fractional positions:
Au 0.2500 0.2500 0.2500  4 Ge 2.99, 4 Cd 2.99
Cd 0.0000 0.0000 0.0000  4 Cd 2.99, 4 Au 2.99
Cd 0.7500 0.7500 0.7500  4 Cd 2.99, 4 Ge 2.99
Ge 0.5000 0.5000 0.5000  4 Au 2.99, 4 Cd 2.99

[14]
The following is a DFT calculation (GGA-PBE) of a relaxed Li4CdGeAu2 crystal.

Space group   P-4m2
Mass density   7.9 g/cm3
Raw total energy   -2.914 eV/atom

a = 4.4917 Å, b = 4.4917 Å, c = 6.3572 Å
α = 90.00°, β = 90.00°, γ = 90.00°
Last column: nearest neighbours and their distance in Å.
Fractional positions:
Au 0.5000 0.0000 0.2727  2 Ge 2.67, 5 Li 2.67-2.95, 2 Cd 2.84
Au 0.0000 0.5000 0.7273  2 Ge 2.67, 5 Li 2.67-2.95, 2 Cd 2.84
Cd 0.0000 0.0000 0.0000  4 Li 2.80, 4 Au 2.84
Ge 0.5000 0.5000 0.5000  4 Au 2.67, 4 Li 2.70
Li 0.5000 0.5000 0.0000  4 Li 2.80, 4 Au 2.84
Li 0.0000 0.5000 0.2638  2 Ge 2.70, 4 Li 2.70-2.80, 2 Cd 2.80, 1 Au 2.95
Li 0.0000 0.0000 0.5000  4 Au 2.67, 4 Li 2.70
Li 0.5000 0.0000 0.7362  2 Ge 2.70, 4 Li 2.70-2.80, 2 Cd 2.80, 1 Au 2.95

[15]
The following is a DFT calculation (GGA-PBE) of a relaxed Li4CdGe2Au crystal.

Space group   P-4m2
Mass density   6.3 g/cm3
Raw total energy   -3.026 eV/atom

a = 4.4782 Å, b = 4.4782 Å, c = 6.3275 Å
α = 90.00°, β = 90.00°, γ = 90.00°
Last column: nearest neighbours and their distance in Å.
Fractional positions:
Au 0.0000 0.0000 0.0000  4 Li 2.68, 4 Ge 2.71
Cd 0.5000 0.5000 0.5000  4 Ge 2.78, 4 Li 2.80
Ge 0.5000 0.0000 0.2408  5 Li 2.71-3.00, 2 Au 2.71, 2 Cd 2.78
Ge 0.0000 0.5000 0.7592  2 Au 2.71, 5 Li 2.71-3.00, 2 Cd 2.78
Li 0.5000 0.5000 0.0000  4 Li 2.68, 4 Ge 2.71
Li 0.0000 0.5000 0.2337  2 Au 2.68, 4 Li 2.68-2.80, 2 Cd 2.80, 1 Ge 3.00
Li 0.0000 0.0000 0.5000  4 Ge 2.78, 4 Li 2.80
Li 0.5000 0.0000 0.7663  4 Li 2.68-2.80, 2 Au 2.68, 2 Cd 2.80, 1 Ge 3.00

[16]
The following is a DFT calculation (GGA-PBE) of a relaxed NaCdGeAu crystal.

Space group   F-43m
Mass density   8.2 g/cm3
Raw total energy   -2.571 eV/atom

a = 4.8722 Å, b = 4.8722 Å, c = 4.8722 Å
α = 60.00°, β = 60.00°, γ = 60.00°
Last column: nearest neighbours and their distance in Å.
Fractional positions:
Au 0.7500 0.7500 0.7500  4 Cd 2.98, 4 Na 2.98
Cd 0.0000 0.0000 0.0000  4 Au 2.98, 4 Ge 2.98
Ge 0.2500 0.2500 0.2500  4 Na 2.98, 4 Cd 2.98
Na 0.5000 0.5000 0.5000  4 Ge 2.98, 4 Au 2.98

[17]
The following is a DFT calculation (GGA-PBE) of a relaxed NaCdGeAu crystal.

Space group   F-43m
Mass density   8.5 g/cm3
Raw total energy   -2.601 eV/atom

a = 4.8271 Å, b = 4.8271 Å, c = 4.8271 Å
α = 60.00°, β = 60.00°, γ = 60.00°
Last column: nearest neighbours and their distance in Å.
Fractional positions:
Au 0.7500 0.7500 0.7500  4 Cd 2.96, 4 Ge 2.96
Cd 0.5000 0.5000 0.5000  4 Au 2.96, 4 Na 2.96
Ge 0.0000 0.0000 0.0000  4 Na 2.96, 4 Au 2.96
Na 0.2500 0.2500 0.2500  4 Cd 2.96, 4 Ge 2.96

[18]
The following is a DFT calculation (GGA-PBE) of a relaxed RbCdGeAu crystal.

Space group   F-43m
Mass density   7.4 g/cm3
Raw total energy   -2.206 eV/atom

a = 5.2978 Å, b = 5.2978 Å, c = 5.2978 Å
α = 60.00°, β = 60.00°, γ = 60.00°
Last column: nearest neighbours and their distance in Å.
Fractional positions:
Au 0.7500 0.7500 0.7500  4 Rb 3.24, 4 Ge 3.24
Cd 0.2500 0.2500 0.2500  4 Rb 3.24, 4 Ge 3.24
Ge 0.0000 0.0000 0.0000  4 Au 3.24, 4 Cd 3.24
Rb 0.5000 0.5000 0.5000  4 Cd 3.24, 4 Au 3.24

[19]
The following is a DFT calculation (GGA-PBE) of a relaxed RbCdGeAu crystal.

Space group   F-43m
Mass density   7.9 g/cm3
Raw total energy   -2.182 eV/atom

a = 5.1848 Å, b = 5.1848 Å, c = 5.1848 Å
α = 60.00°, β = 60.00°, γ = 60.00°
Last column: nearest neighbours and their distance in Å.
Fractional positions:
Au 0.7500 0.7500 0.7500  4 Cd 3.18, 4 Ge 3.18
Cd 0.5000 0.5000 0.5000  4 Rb 3.18, 4 Au 3.18
Ge 0.0000 0.0000 0.0000  4 Au 3.18, 4 Rb 3.18
Rb 0.2500 0.2500 0.2500  4 Cd 3.18, 4 Ge 3.18

[20]
The following is a DFT calculation (GGA-PBE) of a relaxed RbCdGeAu crystal.

Space group   F-43m
Mass density   7.5 g/cm3
Raw total energy   -2.170 eV/atom

a = 5.2718 Å, b = 5.2718 Å, c = 5.2718 Å
α = 60.00°, β = 60.00°, γ = 60.00°
Last column: nearest neighbours and their distance in Å.
Fractional positions:
Au 0.7500 0.7500 0.7500  4 Rb 3.23, 4 Cd 3.23
Cd 0.0000 0.0000 0.0000  4 Ge 3.23, 4 Au 3.23
Ge 0.2500 0.2500 0.2500  4 Cd 3.23, 4 Rb 3.23
Rb 0.5000 0.5000 0.5000  4 Au 3.23, 4 Ge 3.23